The following is a DFT calculation (GGA-PBE) of a relaxed Zn2Sn crystal.

Calculated values
As for the formation energy: 0.071 eV per atom.

abc: 4.3313 4.5837 6.6523
angles: 70.66 80.80 75.30
Closest atoms and distances in Å follow each position.
Space group P-1 (No. 2)
Asymmetric unit:
Zn: 0.0706 0.2656 0.1873 [2 per cell]  5 Zn 2.62-2.78, 1 Sn 2.83
Zn: 0.3599 0.7408 0.0732 [2 per cell]  6 Zn 2.62-2.78, 1 Sn 2.86
Sn: 0.2707 0.2229 0.6196 [2 per cell]  6 Zn 2.83-3.14, 2 Sn 3.12-3.16